A relaxed Sc4AgAu5 crystal. Source: Alexandria, functional PBE-GGA.

- D(E_F): 4.2 states/eV per cell
- ρ: 10.943 g cm⁻³
- VASP energy: -51.53 eV/f.u.
- Formation energy from the elements: -6.964 eV/f.u.

Cell and atoms, written as POSCAR:
```
Sc4AgAu5
1.0
3.418 0.000 0.000
0.000 3.418 0.000
0.000 0.000 16.528
Sc Ag Au
4 1 5
Cartesian
0.000 0.000 1.696
0.000 0.000 5.109
0.000 0.000 11.419
0.000 0.000 14.832
0.000 0.000 8.264
1.709 1.709 0.000
1.709 1.709 3.354
1.709 1.709 6.644
1.709 1.709 9.884
1.709 1.709 13.174
```